Crystalline La2PrNi2C2N3 at its relaxed geometry, computed with PBE.

Cell: 10.3764 10.3764 10.3764 Å, 159.68 159.68 28.89°
Atoms (fractional coordinates):
La  0.1295  0.1295  0.0000
La  0.8705  0.8705  0.0000
Pr  0.5000  0.5000  0.0000
Ni  0.2500  0.7500  0.5000
Ni  0.7500  0.2500  0.5000
C  0.3066  0.3066  0.0000
C  0.6934  0.6934  0.0000
N  0.0000  0.0000  0.0000
N  0.3753  0.3753  0.0000
N  0.6247  0.6247  0.0000

Computed properties:
E	-7.618	eV per atom

Crystalline LuCo at its relaxed geometry, computed with PBE.

Cell: 5.8307 5.8307 5.8307 Å, 90.00 90.00 90.00°
Atoms (fractional coordinates):
Lu  0.0000  0.0000  0.0000
Lu  0.0000  0.5000  0.5000
Lu  0.5000  0.0000  0.5000
Lu  0.5000  0.5000  0.0000
Co  0.2500  0.2500  0.2500
Co  0.2500  0.7500  0.7500
Co  0.7500  0.2500  0.7500
Co  0.7500  0.7500  0.2500

Computed properties:
ΔE_f	0.97	eV/atom

Crystalline Zr3Si at its relaxed geometry, computed with PBE.

Cell: 6.0999 6.0999 4.9771 Å, 90.00 90.00 120.00°
Atoms (fractional coordinates):
Zr  0.1722  0.3444  0.2500
Zr  0.1722  0.8278  0.2500
Zr  0.3444  0.1722  0.7500
Zr  0.6556  0.8278  0.2500
Zr  0.8278  0.1722  0.7500
Zr  0.8278  0.6556  0.7500
Si  0.3333  0.6667  0.7500
Si  0.6667  0.3333  0.2500

Computed properties:
E	-8.120	eV per atom

Crystalline ZnCdSO at its relaxed geometry, computed with PBE.

Cell: 4.1300 4.1300 8.3691 Å, 90.00 90.00 90.00°
Atoms (fractional coordinates):
Zn  0.2500  0.2500  0.1479
Zn  0.7500  0.7500  0.8521
Cd  0.2500  0.2500  0.6315
Cd  0.7500  0.7500  0.3685
S  0.2500  0.7500  0.0000
S  0.7500  0.2500  0.0000
O  0.2500  0.2500  0.3742
O  0.7500  0.7500  0.6258

Computed properties:
E	-3.129	eV per atom

Crystalline RbTe3PbAu at its relaxed geometry, computed with PBE.

Cell: 7.5454 7.5454 12.5286 Å, 90.00 90.00 145.50°
Atoms (fractional coordinates):
Rb  0.2221  0.7779  0.7500
Rb  0.7779  0.2221  0.2500
Te  0.1590  0.8410  0.0423
Te  0.1590  0.8410  0.4577
Te  0.4783  0.5217  0.2500
Te  0.5217  0.4783  0.7500
Te  0.8410  0.1590  0.5423
Te  0.8410  0.1590  0.9577
Pb  0.5000  0.5000  0.0000
Pb  0.5000  0.5000  0.5000
Au  0.0874  0.9126  0.2500
Au  0.9126  0.0874  0.7500

Computed properties:
E	-3.238	eV per atom

Crystalline SrNb2Co at its relaxed geometry, computed with PBE.

Cell: 6.7680 6.7680 6.7680 Å, 90.00 90.00 90.00°
Atoms (fractional coordinates):
Sr  0.0000  0.0000  0.0000
Sr  0.0000  0.5000  0.5000
Sr  0.5000  0.0000  0.5000
Sr  0.5000  0.5000  0.0000
Nb  0.0000  0.0000  0.5000
Nb  0.0000  0.5000  0.0000
Nb  0.2500  0.2500  0.7500
Nb  0.2500  0.7500  0.2500
Nb  0.5000  0.0000  0.0000
Nb  0.5000  0.5000  0.5000
Nb  0.7500  0.2500  0.2500
Nb  0.7500  0.7500  0.7500
Co  0.2500  0.2500  0.2500
Co  0.2500  0.7500  0.7500
Co  0.7500  0.2500  0.7500
Co  0.7500  0.7500  0.2500

Computed properties:
E	-6.366	eV per atom

Crystalline ZrSc2Be at its relaxed geometry, computed with PBE.

Cell: 6.7924 6.7924 6.7924 Å, 90.00 90.00 90.00°
Atoms (fractional coordinates):
Zr  0.0000  0.0000  0.0000
Zr  0.0000  0.5000  0.5000
Zr  0.5000  0.0000  0.5000
Zr  0.5000  0.5000  0.0000
Sc  0.0000  0.0000  0.5000
Sc  0.0000  0.5000  0.0000
Sc  0.2500  0.2500  0.2500
Sc  0.2500  0.7500  0.7500
Sc  0.5000  0.0000  0.0000
Sc  0.5000  0.5000  0.5000
Sc  0.7500  0.2500  0.7500
Sc  0.7500  0.7500  0.2500
Be  0.2500  0.2500  0.7500
Be  0.2500  0.7500  0.2500
Be  0.7500  0.2500  0.2500
Be  0.7500  0.7500  0.7500

Computed properties:
E	-5.995	eV per atom

Crystalline Pr2SmPdPt2Pb3 at its relaxed geometry, computed with PBE.

Cell: 4.1369 7.8688 7.8688 Å, 119.91 90.00 90.00°
Atoms (fractional coordinates):
Pr  0.0000  0.2056  0.7944
Pr  0.0000  0.7944  0.2056
Sm  0.0000  0.3835  0.3835
Pd  0.0000  0.7931  0.7931
Pt  0.5000  0.1294  0.4604
Pt  0.5000  0.4604  0.1294
Pb  0.5000  0.0504  0.0504
Pb  0.5000  0.5390  0.7932
Pb  0.5000  0.7932  0.5390

Computed properties:
E	-5.554	eV per atom